This record from the Alexandria database describes crystalline PmPrIrAu at its relaxed geometry. The functional is PBE.

Output
- E_form (eV per atom) = -0.67
- N(E_F) (states/eV/f.u.) = 3.106
- distance to the lowest polymorph of the same formula (meV per atom) = 51

abc: 5.132 5.132 5.132
angles: 60.00 60.00 60.00
Fractional coordinates of all 4 atoms:
Pm  0.000  0.000  0.000
Pr  0.500  0.500  0.500
Ir  0.250  0.250  0.250
Au  0.750  0.750  0.750